Record 1
# PBE-GGA Nb4GePC2, relaxed
# E_tot ... -9.245 eV per atom
# Calculated density ... 7.3 g cm⁻³
# SG ... P-6m2, No. 187
data_Nb4GePC2
_chemical_formula_sum 'Nb4 Ge1 P1 C2'
_symmetry_space_group_name_H-M 'P 1'
_symmetry_Int_Tables_number 1
_symmetry_space_group_name_Hall 'P 1'
_cell_length_a 3.289
_cell_length_b 3.289
_cell_length_c 12.120
_cell_angle_alpha 90.00
_cell_angle_beta 90.00
_cell_angle_gamma 120.00
loop_
_atom_site_label
_atom_site_type_symbol
_atom_site_fract_x
_atom_site_fract_y
_atom_site_fract_z
Nb1 Nb 0.000 0.000 0.144
Nb2 Nb 0.000 0.000 0.856
Nb3 Nb 0.333 0.667 0.336
Nb4 Nb 0.333 0.667 0.664
Ge1 Ge 0.000 0.000 0.500
P1 P 0.333 0.667 0.000
C1 C 0.667 0.333 0.243
C2 C 0.667 0.333 0.757

Record 2
# PBE-GGA LaNdAl4Fe2, relaxed
# E_tot ... -5.479 eV per atom
# Calculated density ... 5.5 g cm⁻³
# SG ... Amm2, No. 38
data_LaNdAl4Fe2
_chemical_formula_sum 'La1 Nd1 Al4 Fe2'
_symmetry_space_group_name_H-M 'P 1'
_symmetry_Int_Tables_number 1
_symmetry_space_group_name_Hall 'P 1'
_cell_length_a 7.168
_cell_length_b 5.470
_cell_length_c 5.470
_cell_angle_alpha 44.83
_cell_angle_beta 90.00
_cell_angle_gamma 90.00
loop_
_atom_site_label
_atom_site_type_symbol
_atom_site_fract_x
_atom_site_fract_y
_atom_site_fract_z
La1 La 0.000 0.000 0.000
Nd1 Nd 0.500 0.901 0.901
Al1 Al 0.195 0.285 0.285
Al2 Al 0.307 0.622 0.622
Al3 Al 0.693 0.622 0.622
Al4 Al 0.805 0.285 0.285
Fe1 Fe 0.000 0.758 0.758
Fe2 Fe 0.500 0.165 0.165

Record 3
# PBE-GGA TmOsW, relaxed
# E_tot ... -8.943 eV per atom
# Calculated formation energy ... 0.61 eV/atom
# Calculated density ... 14.7 g cm⁻³
# Excess energy over the best structure of this formula in the dataset ... 0.0 meV/atom
# SG ... F-43m, No. 216
data_TmOsW
_chemical_formula_sum 'Tm1 Os1 W1'
_symmetry_space_group_name_H-M 'P 1'
_symmetry_Int_Tables_number 1
_symmetry_space_group_name_Hall 'P 1'
_cell_length_a 4.426
_cell_length_b 4.426
_cell_length_c 4.426
_cell_angle_alpha 60.00
_cell_angle_beta 60.00
_cell_angle_gamma 60.00
loop_
_atom_site_label
_atom_site_type_symbol
_atom_site_fract_x
_atom_site_fract_y
_atom_site_fract_z
Tm1 Tm 0.000 0.000 0.000
Os1 Os 0.500 0.500 0.500
W1 W 0.750 0.750 0.750

Record 4
# PBE-GGA TbEr5Bi6, relaxed
# E_tot ... -5.151 eV per atom
# Calculated density ... 10.1 g cm⁻³
# SG ... C2/m, No. 12
data_TbEr5Bi6
_chemical_formula_sum 'Tb1 Er5 Bi6'
_symmetry_space_group_name_H-M 'P 1'
_symmetry_Int_Tables_number 1
_symmetry_space_group_name_Hall 'P 1'
_cell_length_a 7.691
_cell_length_b 7.691
_cell_length_c 7.690
_cell_angle_alpha 99.60
_cell_angle_beta 99.60
_cell_angle_gamma 120.00
loop_
_atom_site_label
_atom_site_type_symbol
_atom_site_fract_x
_atom_site_fract_y
_atom_site_fract_z
Tb1 Tb 0.000 0.000 0.000
Er1 Er 0.166 0.834 0.500
Er2 Er 0.333 0.667 0.000
Er3 Er 0.500 0.500 0.500
Er4 Er 0.667 0.333 0.000
Er5 Er 0.834 0.166 0.500
Bi1 Bi 0.084 0.419 0.251
Bi2 Bi 0.252 0.252 0.750
Bi3 Bi 0.419 0.084 0.251
Bi4 Bi 0.581 0.916 0.749
Bi5 Bi 0.748 0.748 0.250
Bi6 Bi 0.916 0.581 0.749

Record 5
# PBE-GGA BeAlZn, relaxed
# E_tot ... -2.800 eV per atom
# Calculated density ... 4.0 g cm⁻³
# Excess energy over the best structure of this formula in the dataset ... 0.0 meV/atom
# SG ... F-43m, No. 216
data_BeAlZn
_chemical_formula_sum 'Be1 Al1 Zn1'
_symmetry_space_group_name_H-M 'P 1'
_symmetry_Int_Tables_number 1
_symmetry_space_group_name_Hall 'P 1'
_cell_length_a 3.921
_cell_length_b 3.921
_cell_length_c 3.921
_cell_angle_alpha 60.00
_cell_angle_beta 60.00
_cell_angle_gamma 60.00
loop_
_atom_site_label
_atom_site_type_symbol
_atom_site_fract_x
_atom_site_fract_y
_atom_site_fract_z
Be1 Be 0.000 0.000 0.000
Al1 Al 0.750 0.750 0.750
Zn1 Zn 0.250 0.250 0.250

Record 6
# PBE-GGA SrZnB, relaxed
# E_tot ... -2.629 eV per atom
# Calculated density ... 4.3 g cm⁻³
# Excess energy over the best structure of this formula in the dataset ... 0.0 meV/atom
# SG ... F-43m, No. 216
data_SrZnB
_chemical_formula_sum 'Sr1 Zn1 B1'
_symmetry_space_group_name_H-M 'P 1'
_symmetry_Int_Tables_number 1
_symmetry_space_group_name_Hall 'P 1'
_cell_length_a 4.487
_cell_length_b 4.487
_cell_length_c 4.487
_cell_angle_alpha 60.00
_cell_angle_beta 60.00
_cell_angle_gamma 60.00
loop_
_atom_site_label
_atom_site_type_symbol
_atom_site_fract_x
_atom_site_fract_y
_atom_site_fract_z
Sr1 Sr 0.000 0.000 0.000
Zn1 Zn 0.500 0.500 0.500
B1 B 0.250 0.250 0.250

Record 7
# PBE-GGA DyReB4, relaxed
# E_tot ... -7.563 eV per atom
# Calculated density ... 10.9 g cm⁻³
# Excess energy over the best structure of this formula in the dataset ... 315.6 meV/atom
# SG ... P6/mmm, No. 191
data_DyReB4
_chemical_formula_sum 'Dy1 Re1 B4'
_symmetry_space_group_name_H-M 'P 1'
_symmetry_Int_Tables_number 1
_symmetry_space_group_name_Hall 'P 1'
_cell_length_a 3.138
_cell_length_b 3.138
_cell_length_c 7.023
_cell_angle_alpha 90.00
_cell_angle_beta 90.00
_cell_angle_gamma 120.00
loop_
_atom_site_label
_atom_site_type_symbol
_atom_site_fract_x
_atom_site_fract_y
_atom_site_fract_z
Dy1 Dy 0.000 0.000 0.000
Re1 Re 0.000 0.000 0.500
B1 B 0.333 0.667 0.275
B2 B 0.333 0.667 0.725
B3 B 0.667 0.333 0.275
B4 B 0.667 0.333 0.725

Record 8
# PBE-GGA AgWI6, relaxed
# E_tot ... -3.002 eV per atom
# Calculated density ... 5.1 g cm⁻³
# SG ... F-43m, No. 216
data_AgWI6
_chemical_formula_sum 'Ag1 W1 I6'
_symmetry_space_group_name_H-M 'P 1'
_symmetry_Int_Tables_number 1
_symmetry_space_group_name_Hall 'P 1'
_cell_length_a 7.864
_cell_length_b 7.864
_cell_length_c 7.864
_cell_angle_alpha 60.00
_cell_angle_beta 60.00
_cell_angle_gamma 60.00
loop_
_atom_site_label
_atom_site_type_symbol
_atom_site_fract_x
_atom_site_fract_y
_atom_site_fract_z
Ag1 Ag 0.000 0.000 0.000
W1 W 0.250 0.250 0.250
I1 I 0.006 0.006 0.494
I2 I 0.006 0.494 0.006
I3 I 0.006 0.494 0.494
I4 I 0.494 0.006 0.006
I5 I 0.494 0.006 0.494
I6 I 0.494 0.494 0.006

Record 9
# PBE-GGA RbZnFeTe3, relaxed
# E_tot ... -3.638 eV per atom
# Calculated density ... 5.3 g cm⁻³
# SG ... Cmcm, No. 63
data_RbZnFeTe3
_chemical_formula_sum 'Rb2 Zn2 Fe2 Te6'
_symmetry_space_group_name_H-M 'P 1'
_symmetry_Int_Tables_number 1
_symmetry_space_group_name_Hall 'P 1'
_cell_length_a 8.515
_cell_length_b 8.515
_cell_length_c 10.858
_cell_angle_alpha 90.00
_cell_angle_beta 90.00
_cell_angle_gamma 152.27
loop_
_atom_site_label
_atom_site_type_symbol
_atom_site_fract_x
_atom_site_fract_y
_atom_site_fract_z
Rb1 Rb 0.244 0.756 0.750
Rb2 Rb 0.756 0.244 0.250
Zn1 Zn 0.460 0.540 0.250
Zn2 Zn 0.540 0.460 0.750
Fe1 Fe 0.000 0.000 0.000
Fe2 Fe 0.000 0.000 0.500
Te1 Te 0.064 0.936 0.250
Te2 Te 0.386 0.614 0.036
Te3 Te 0.386 0.614 0.464
Te4 Te 0.614 0.386 0.536
Te5 Te 0.614 0.386 0.964
Te6 Te 0.936 0.064 0.750

Record 10
# PBE-GGA RbHfCu3S4, relaxed
# E_tot ... -5.137 eV per atom
# Calculated density ... 4.8 g cm⁻³
# Excess energy over the best structure of this formula in the dataset ... 0.0 meV/atom
# SG ... P2_1/m, No. 11
data_RbHfCu3S4
_chemical_formula_sum 'Rb2 Hf2 Cu6 S8'
_symmetry_space_group_name_H-M 'P 1'
_symmetry_Int_Tables_number 1
_symmetry_space_group_name_Hall 'P 1'
_cell_length_a 5.713
_cell_length_b 7.387
_cell_length_c 9.858
_cell_angle_alpha 90.00
_cell_angle_beta 104.40
_cell_angle_gamma 90.00
loop_
_atom_site_label
_atom_site_type_symbol
_atom_site_fract_x
_atom_site_fract_y
_atom_site_fract_z
Rb1 Rb 0.224 0.250 0.382
Rb2 Rb 0.776 0.750 0.618
Hf1 Hf 0.133 0.250 0.804
Hf2 Hf 0.867 0.750 0.196
Cu1 Cu 0.282 0.544 0.016
Cu2 Cu 0.282 0.956 0.016
Cu3 Cu 0.397 0.750 0.238
Cu4 Cu 0.603 0.250 0.762
Cu5 Cu 0.718 0.044 0.984
Cu6 Cu 0.718 0.456 0.984
S1 S 0.040 0.250 0.031
S2 S 0.189 0.750 0.402
S3 S 0.387 0.508 0.794
S4 S 0.387 0.992 0.794
S5 S 0.613 0.008 0.206
S6 S 0.613 0.492 0.206
S7 S 0.811 0.250 0.598
S8 S 0.960 0.750 0.969

Record 11
# PBE-GGA LiHfNiSn, relaxed
# E_tot ... -5.366 eV per atom
# Calculated density ... 8.9 g cm⁻³
# Excess energy over the best structure of this formula in the dataset ... 348.0 meV/atom
# SG ... F-43m, No. 216
data_LiHfNiSn
_chemical_formula_sum 'Li1 Hf1 Ni1 Sn1'
_symmetry_space_group_name_H-M 'P 1'
_symmetry_Int_Tables_number 1
_symmetry_space_group_name_Hall 'P 1'
_cell_length_a 4.570
_cell_length_b 4.570
_cell_length_c 4.570
_cell_angle_alpha 60.00
_cell_angle_beta 60.00
_cell_angle_gamma 60.00
loop_
_atom_site_label
_atom_site_type_symbol
_atom_site_fract_x
_atom_site_fract_y
_atom_site_fract_z
Li1 Li 0.000 0.000 0.000
Hf1 Hf 0.250 0.250 0.250
Ni1 Ni 0.750 0.750 0.750
Sn1 Sn 0.500 0.500 0.500

Record 12
# PBE-GGA Lu2CuPb, relaxed
# E_tot ... -3.950 eV per atom
# Calculated density ... 10.6 g cm⁻³
# SG ... F-43m, No. 216
data_Lu2CuPb
_chemical_formula_sum 'Lu2 Cu1 Pb1'
_symmetry_space_group_name_H-M 'P 1'
_symmetry_Int_Tables_number 1
_symmetry_space_group_name_Hall 'P 1'
_cell_length_a 5.154
_cell_length_b 5.154
_cell_length_c 5.154
_cell_angle_alpha 60.00
_cell_angle_beta 60.00
_cell_angle_gamma 60.00
loop_
_atom_site_label
_atom_site_type_symbol
_atom_site_fract_x
_atom_site_fract_y
_atom_site_fract_z
Lu1 Lu 0.000 0.000 0.000
Lu2 Lu 0.250 0.250 0.250
Cu1 Cu 0.750 0.750 0.750
Pb1 Pb 0.500 0.500 0.500